1.
A plane-wave DFT calculation with PBE was carried out for a relaxed YTm3Ru8 crystal.

symmetry: R3m (160)
calculated formation energy: -0.33 eV/atom
crystal system: trigonal
calculated density: 11004 kg/m³

POSCAR file:
```
YTm3Ru8
1.0
5.0753 0.0000 1.5321
2.3064 4.5209 1.5321
-0.0169 -0.0104 9.2284
Y Ru Tm
1 8 3
direct
0.8749 0.8749 0.3752
0.9377 0.4355 0.6891
0.9390 0.4376 0.1858
0.9377 0.9377 0.6891
0.4376 0.9390 0.1858
0.4355 0.9377 0.6891
0.6876 0.6876 0.9373
0.1875 0.1875 0.4376
0.4376 0.4376 0.1858
0.0001 0.0001 0.9998
0.4998 0.4998 0.5007
0.3751 0.3751 0.8747
```

2.
A plane-wave DFT calculation with PBE was carried out for a relaxed Y3TmRu4 crystal.

symmetry: P4/mmm (123)
calculated formation energy: -0.31 eV/atom
crystal system: tetragonal
calculated density: 8893 kg/m³

POSCAR file:
```
Y3TmRu4
1.0
-1.2499 0.6561 -3.0895
-2.1558 -2.6055 0.3189
-9.2369 8.3165 5.5029
Ru Y Tm
4 3 1
direct
0.0000 0.0000 0.1208
0.0000 0.0000 0.6260
0.0000 0.0000 0.8792
0.0000 0.0000 0.3740
0.5000 0.5000 0.2481
0.5000 0.5000 0.5000
0.5000 0.5000 0.7519
0.5000 0.5000 0.0000
```

3.
A plane-wave DFT calculation with PBE was carried out for a relaxed YTmRu2 crystal.

symmetry: P4/mmm (123)
calculated formation energy: -0.35 eV/atom
crystal system: tetragonal
calculated density: 9862 kg/m³

POSCAR file:
```
YTmRu2
1.0
3.3825 0.0000 0.0000
0.0000 3.3825 0.0000
0.0000 0.0000 6.7692
Tm Ru Y
1 2 1
direct
0.5000 0.5000 0.0000
0.0000 0.0000 0.7562
0.0000 0.0000 0.2438
0.5000 0.5000 0.5000
```

4.
A plane-wave DFT calculation with PBE was carried out for a relaxed Y2TmRu crystal.

symmetry: R-3m (166)
calculated formation energy: 0.15 eV/atom
crystal system: trigonal
calculated density: 6652 kg/m³
relative energy among the computed polymorphs: 1.89 eV/f.u.

POSCAR file:
```
Y2TmRu
1.0
-3.1940 1.3011 0.5253
-2.5205 -0.5638 -2.3451
-4.6771 -8.6235 4.5055
Y Tm Ru
2 1 1
direct
0.8939 0.8939 0.3182
0.1061 0.1061 0.6818
0.0000 0.0000 0.0000
0.5000 0.5000 0.5000
```

5.
A plane-wave DFT calculation with PBE was carried out for a relaxed YTmRu2 crystal.

symmetry: Fm-3m (225)
calculated formation energy: -0.34 eV/atom
crystal system: cubic
calculated density: 9860 kg/m³

POSCAR file:
```
YTmRu2
1.0
4.7850 0.0000 0.0000
2.3925 4.1439 0.0000
2.3925 1.3813 3.9069
Ru Tm Y
2 1 1
direct
0.0000 0.0000 0.0000
0.5000 0.5000 0.5000
0.7500 0.7500 0.7500
0.2500 0.2500 0.2500
```

6.
A plane-wave DFT calculation with PBE was carried out for a relaxed Y3TmRu8 crystal.

symmetry: R3m (160)
calculated formation energy: -0.30 eV/atom
crystal system: trigonal
calculated density: 9633 kg/m³

POSCAR file:
```
Y3TmRu8
1.0
5.0955 0.0000 1.5382
2.3156 4.5390 1.5382
-0.0173 -0.0106 9.2663
Ru Y Tm
8 3 1
direct
0.4375 0.9357 0.1892
0.6876 0.6876 0.9373
0.4392 0.9374 0.6859
0.9374 0.4392 0.6859
0.9357 0.4375 0.1892
0.4375 0.4375 0.1892
0.1877 0.1877 0.4369
0.9374 0.9374 0.6859
0.9998 0.9998 0.0006
0.5000 0.5000 0.4999
0.3749 0.3749 0.8752
0.8751 0.8751 0.3746
```

7.
A plane-wave DFT calculation with PBE was carried out for a relaxed Y2TmRu crystal.

symmetry: P4/mmm (123)
calculated formation energy: -0.17 eV/atom
crystal system: tetragonal
calculated density: 7109 kg/m³
relative energy among the computed polymorphs: 0.65 eV/f.u.

POSCAR file:
```
Y2TmRu
1.0
3.4425 0.0000 0.0000
0.0000 3.4425 0.0000
0.0000 0.0000 8.8267
Tm Ru Y
1 1 2
direct
0.5000 0.5000 0.5000
0.5000 0.5000 0.0000
0.0000 0.0000 0.1876
0.0000 0.0000 0.8124
```

8.
A plane-wave DFT calculation with PBE was carried out for a relaxed Y2TmRu crystal.

symmetry: Pnma (62)
calculated formation energy: -0.33 eV/atom
crystal system: orthorhombic
calculated density: 7038 kg/m³
relative energy among the computed polymorphs: 0.00 eV/f.u.

POSCAR file:
```
Y2TmRu
1.0
-0.2867 -5.6207 -2.8843
-1.8648 -3.1411 6.3065
-8.8544 1.4299 -1.9061
Tm Y Ru
4 8 4
direct
0.1343 0.9572 0.7500
0.3657 0.4572 0.7500
0.6343 0.5428 0.2500
0.8657 0.0428 0.2500
0.3290 0.1766 0.4362
0.1710 0.6766 0.0638
0.3290 0.1766 0.0638
0.6710 0.8234 0.5638
0.8290 0.3234 0.5638
0.8290 0.3234 0.9362
0.6710 0.8234 0.9362
0.1710 0.6766 0.4362
0.4706 0.8843 0.2500
0.9706 0.6157 0.7500
0.5294 0.1157 0.7500
0.0294 0.3843 0.2500
```

9.
A plane-wave DFT calculation with PBE was carried out for a relaxed Y2TmRu2 crystal.

symmetry: C2/m (12)
calculated formation energy: -0.33 eV/atom
crystal system: monoclinic
calculated density: 8017 kg/m³

POSCAR file:
```
Y2TmRu2
1.0
3.9625 0.0062 1.6888
1.3927 5.0881 2.2244
-0.0863 0.3431 5.7146
Tm Y Ru
1 2 2
direct
0.5000 0.5000 0.0000
0.6999 0.7996 0.2996
0.3000 0.2004 0.7004
0.0001 0.7836 0.7165
0.9999 0.2164 0.2835
```

10.
A plane-wave DFT calculation with PBE was carried out for a relaxed Y2TmRu crystal.

symmetry: Cmcm (63)
calculated formation energy: -0.31 eV/atom
crystal system: orthorhombic
calculated density: 7052 kg/m³
relative energy among the computed polymorphs: 0.08 eV/f.u.

POSCAR file:
```
Y2TmRu
1.0
3.9094 0.0003 0.0000
-1.9540 5.9214 0.0000
0.0000 0.0000 9.1097
Y Tm Ru
4 2 2
direct
0.6417 0.2832 0.4333
0.3584 0.7168 0.9333
0.6417 0.2832 0.0667
0.3584 0.7168 0.5667
0.9226 0.8451 0.2500
0.0774 0.1549 0.7500
0.7401 0.4804 0.7500
0.2599 0.5196 0.2500
```

11.
A plane-wave DFT calculation with PBE was carried out for a relaxed Y5TmRu6 crystal.

symmetry: Immm (71)
calculated formation energy: -0.30 eV/atom
crystal system: orthorhombic
calculated density: 8579 kg/m³

POSCAR file:
```
Y5TmRu6
1.0
4.6231 0.0195 -1.3492
-0.9356 5.9899 -3.1191
-0.0873 0.4297 8.3026
Ru Y Tm
6 5 1
direct
0.8347 0.5866 0.6695
0.1653 0.4134 0.3305
0.5000 0.2462 0.0000
0.5000 0.7538 0.0000
0.1653 0.9172 0.3305
0.8347 0.0828 0.6695
0.3336 0.3336 0.6673
0.3336 0.8336 0.6672
0.6664 0.6664 0.3327
0.6664 0.1664 0.3328
0.0000 0.5000 0.0000
0.0000 0.0000 0.0000
```

12.
A plane-wave DFT calculation with PBE was carried out for a relaxed Y2Tm2Ru crystal.

symmetry: C2/m (12)
calculated formation energy: -0.18 eV/atom
crystal system: monoclinic
calculated density: 7227 kg/m³

POSCAR file:
```
Y2Tm2Ru
1.0
-4.7084 -1.4361 5.4299
1.0636 -5.2030 4.4925
0.5998 3.2439 7.0318
Tm Ru Y
4 2 4
direct
0.6423 0.0000 0.1020
0.1635 0.0000 0.6083
0.3577 0.0000 0.8980
0.8366 0.0000 0.3917
0.1240 0.7519 0.0000
0.8760 0.2481 0.0000
0.9838 0.4442 0.2469
0.0162 0.5558 0.7531
0.5721 0.4442 0.7531
0.4279 0.5558 0.2469
```

13.
A plane-wave DFT calculation with PBE was carried out for a relaxed YTmRu4 crystal.

symmetry: F-43m (216)
calculated formation energy: -0.32 eV/atom
crystal system: cubic
calculated density: 10321 kg/m³

POSCAR file:
```
YTmRu4
1.0
5.3210 0.0000 0.0000
2.6605 4.6081 0.0000
2.6605 1.5360 4.3445
Ru Y Tm
4 1 1
direct
0.6251 0.1246 0.6251
0.6251 0.6251 0.1246
0.6251 0.6251 0.6251
0.1246 0.6251 0.6251
0.2500 0.2500 0.2500
0.0000 0.0000 0.0000
```

14.
A plane-wave DFT calculation with PBE was carried out for a relaxed YTm2Ru2 crystal.

symmetry: Cmmm (65)
calculated formation energy: -0.35 eV/atom
crystal system: orthorhombic
calculated density: 9140 kg/m³
relative energy among the computed polymorphs: 0.00 eV/f.u.

POSCAR file:
```
YTm2Ru2
1.0
-1.7922 1.3743 -2.4912
-2.7201 0.1173 2.0216
1.3381 9.1971 4.1112
Ru Y Tm
2 1 2
direct
0.5000 0.5912 0.8176
0.5000 0.4088 0.1824
0.0000 0.0000 0.0000
0.0000 0.8333 0.3333
0.0000 0.1667 0.6667
```

15.
A plane-wave DFT calculation with PBE was carried out for a relaxed YTm3Ru3 crystal.

symmetry: R3m (160)
calculated formation energy: -0.41 eV/atom
crystal system: trigonal
calculated density: 10029 kg/m³

POSCAR file:
```
YTm3Ru3
1.0
5.4609 0.0179 -1.9377
-2.7122 4.6889 -1.9192
-0.0104 0.0179 5.7945
Tm Y Ru
3 1 3
direct
0.0000 0.0034 0.4151
0.5849 0.5883 0.5849
0.4151 0.0034 0.0000
0.0000 0.4161 0.0000
0.5014 0.5050 0.0000
0.4986 0.0037 0.4986
0.0000 0.5050 0.5014
```

16.
A plane-wave DFT calculation with PBE was carried out for a relaxed Y4TmRu2 crystal.

symmetry: P2_1/m (11)
calculated formation energy: -0.23 eV/atom
crystal system: monoclinic
calculated density: 6700 kg/m³

POSCAR file:
```
Y4TmRu2
1.0
6.3282 0.0000 0.0000
0.0000 7.3151 -2.9851
0.0000 -0.0503 7.8018
Ru Y Tm
4 8 2
direct
0.2500 0.6246 0.5883
0.2500 0.2528 0.9783
0.7500 0.3754 0.4117
0.7500 0.7472 0.0217
0.9988 0.4143 0.7592
0.2500 0.2448 0.3236
0.0012 0.5857 0.2408
0.5012 0.4143 0.7592
0.4988 0.5857 0.2408
0.2500 0.9785 0.6226
0.7500 0.7552 0.6764
0.7500 0.0215 0.3774
0.7500 0.1648 0.0291
0.2500 0.8352 0.9709
```

17.
A plane-wave DFT calculation with PBE was carried out for a relaxed Y3Tm2Ru2 crystal.

symmetry: C2/m (12)
calculated formation energy: -0.33 eV/atom
crystal system: monoclinic
calculated density: 7517 kg/m³

POSCAR file:
```
Y3Tm2Ru2
1.0
-0.7614 -1.1603 -3.6192
-2.6078 -4.1127 3.9428
-4.8630 6.7280 -1.1340
Y Tm Ru
3 2 2
direct
0.5000 0.0000 0.0000
0.3788 0.7576 0.5694
0.6212 0.2424 0.4306
0.8326 0.6652 0.1839
0.1674 0.3348 0.8161
0.1809 0.3618 0.2171
0.8191 0.6382 0.7829
```

18.
A plane-wave DFT calculation with PBE was carried out for a relaxed YTm2Ru2 crystal.

symmetry: P2_1/m (11)
calculated formation energy: -0.24 eV/atom
crystal system: monoclinic
calculated density: 8539 kg/m³
relative energy among the computed polymorphs: 0.56 eV/f.u.

POSCAR file:
```
YTm2Ru2
1.0
-2.5587 -3.0982 -1.6097
3.4635 -3.6609 1.5407
-7.5909 1.9559 8.3014
Y Tm Ru
2 4 4
direct
0.7500 0.2057 0.7657
0.2500 0.7943 0.2343
0.2500 0.2768 0.5268
0.7500 0.7232 0.4732
0.7500 0.1946 0.1240
0.2500 0.8054 0.8760
0.2500 0.3905 0.9860
0.2500 0.8678 0.6399
0.7500 0.6095 0.0140
0.7500 0.1322 0.3601
```

19.
A plane-wave DFT calculation with PBE was carried out for a relaxed YTm5Ru6 crystal.

symmetry: C2/m (12)
calculated formation energy: -0.39 eV/atom
crystal system: monoclinic
calculated density: 11198 kg/m³

POSCAR file:
```
YTm5Ru6
1.0
0.2631 -4.3964 -1.8187
3.2394 -2.0929 5.5278
-7.9732 1.6005 1.1696
Tm Ru Y
5 6 1
direct
0.3330 0.3331 0.6661
0.0000 0.5000 0.0000
0.6669 0.1670 0.3339
0.6670 0.6669 0.3339
0.3331 0.8330 0.6661
0.8318 0.0838 0.6638
0.1681 0.4200 0.3361
0.5000 0.7462 0.0000
0.8319 0.5800 0.6639
0.5000 0.2538 0.0000
0.1682 0.9162 0.3362
0.0000 0.0000 0.0000
```

20.
A plane-wave DFT calculation with PBE was carried out for a relaxed Y2TmRu3 crystal.

symmetry: Cmmm (65)
calculated formation energy: -0.32 eV/atom
crystal system: orthorhombic
calculated density: 9212 kg/m³

POSCAR file:
```
Y2TmRu3
1.0
3.4045 0.0000 0.0000
0.0000 4.5450 -1.5046
0.0000 -0.0134 7.5762
Ru Y Tm
3 2 1
direct
0.5000 0.5000 0.0000
0.5000 0.8361 0.6721
0.5000 0.1639 0.3279
0.0000 0.3339 0.6678
0.0000 0.6661 0.3322
0.0000 0.0000 0.0000
```

21.
A plane-wave DFT calculation with PBE was carried out for a relaxed Tm2ZnRu crystal.

symmetry: Fm-3m (225)
calculated formation energy: -0.41 eV/atom
crystal system: cubic
calculated density: 10406 kg/m³
relative energy among the computed polymorphs: 0.22 eV/f.u.

POSCAR file:
```
Tm2ZnRu
1.0
-1.1564 -2.0698 4.2266
2.9161 -3.3527 1.9343
2.5645 1.0255 3.9821
Zn Tm Ru
1 2 1
direct
0.5000 0.5000 0.5000
0.7500 0.7500 0.7500
0.2500 0.2500 0.2500
0.0000 0.0000 0.0000
```

22.
A plane-wave DFT calculation with PBE was carried out for a relaxed TmZn6Ru2 crystal.

symmetry: Immm (71)
calculated formation energy: -0.05 eV/atom
crystal system: orthorhombic
calculated density: 8514 kg/m³

POSCAR file:
```
TmZn6Ru2
1.0
4.3864 0.0000 0.0000
2.1932 6.4155 1.5713
2.1932 2.8067 5.9791
Zn Tm Ru
6 1 2
direct
0.2967 0.9448 0.4619
0.7033 0.5381 0.0552
0.5000 0.2950 0.7050
0.5000 0.7050 0.2950
0.7033 0.0552 0.5381
0.2967 0.4619 0.9448
0.0000 0.0000 0.0000
0.8905 0.6095 0.6095
0.1095 0.3905 0.3905
```

23.
A plane-wave DFT calculation with PBE was carried out for a relaxed TmZn3Ru crystal.

symmetry: Pnma (62)
calculated formation energy: -0.13 eV/atom
crystal system: orthorhombic
calculated density: 8659 kg/m³

POSCAR file:
```
TmZn3Ru
1.0
-2.8327 -4.7202 1.1131
4.8615 -1.4992 6.0146
-4.8820 4.1015 4.9684
Ru Zn Tm
4 12 4
direct
0.0000 0.5000 0.5000
0.0000 0.5000 0.0000
0.5000 0.0000 0.0000
0.5000 0.0000 0.5000
0.6169 0.3146 0.4329
0.3831 0.6854 0.9329
0.6169 0.3146 0.0671
0.7702 0.0374 0.2500
0.8831 0.8146 0.9329
0.2298 0.9626 0.7500
0.1169 0.1854 0.4329
0.8831 0.8146 0.5671
0.1169 0.1854 0.0671
0.7298 0.5374 0.7500
0.3831 0.6854 0.5671
0.2702 0.4626 0.2500
0.2431 0.8696 0.2500
0.2569 0.3696 0.7500
0.7431 0.6304 0.2500
0.7569 0.1304 0.7500
```

24.
A plane-wave DFT calculation with PBE was carried out for a relaxed Tm4Zn2Ru crystal.

symmetry: Cmmm (65)
calculated formation energy: -0.29 eV/atom
crystal system: orthorhombic
calculated density: 9312 kg/m³

POSCAR file:
```
Tm4Zn2Ru
1.0
4.7953 0.0000 0.0000
0.0000 5.6418 -1.9611
0.0000 0.0270 5.9728
Zn Tm Ru
2 4 1
direct
0.0000 0.7451 0.2549
0.0000 0.2549 0.7451
0.0000 0.7450 0.7450
0.5000 0.5000 0.0000
0.0000 0.2550 0.2550
0.5000 0.0000 0.5000
0.5000 0.5000 0.5000
```

Here are the calculated energy numbers, same order: -8.1712 -7.9335 -7.7204 -6.5235 -7.7148 -8.4740 -6.8343 -6.9958 -7.5246 -6.9747 -7.9994 -6.4083 -8.3256 -7.1406 -7.2271 -7.2080 -7.0274 -7.0283 -7.4304 -7.8580 -5.2844 -3.4608 -3.6480 -4.5385 (eV per atom).